## Sc2Zn2Os (GGA-PBE)

Data for an optimized crystal structure of Sc2Zn2Os.

Results
The total energy is -5.41 eV per atom. Its energy above the lowest structure with this stoichiometry is 21 meV per atom. The energy of formation comes out at -60 kJ/mol of formula units. The value obtained for the total magnetization is 0.00 μB/f.u.

Structure (POSCAR):
```
Sc2Zn2Os
1.0
-1.675 1.675 8.408
1.675 -1.675 8.408
1.675 1.675 -8.408
Sc Zn Os
2 2 1
direct
0.090 0.090 0.000 Sc
0.910 0.910 0.000 Sc
0.250 0.750 0.500 Zn
0.750 0.250 0.500 Zn
0.500 0.500 0.000 Os
```